Entry from Alexandria via LeMat-Bulk: a relaxed structure of NaSnB (PBE).

Cell: 6.0423 3.1786 6.9721 Å, 90.00 78.65 90.00°
With the nearest neighbours (Å) after each atom.
Positions (direct):
Na 0.6459 0.2500 0.2580  3 B 2.62-2.88
Na 0.3541 0.7500 0.7420  3 B 2.62-2.88
B 0.0006 0.2500 0.9720  2 B 1.64
B 0.9994 0.7500 0.0280  2 B 1.64
Sn 0.8479 0.2500 0.6736  1 B 2.44
Sn 0.1521 0.7500 0.3264  1 B 2.44

Calculated values
symmetry = No. 11
size of the total moment = 0.00 μB per formula unit
crystal system = monoclinic
DFT total energy = -3.86 eV/atom